Record 1
Density functional theory data (GGA-PBE) for crystalline TaMo2W5 at its relaxed geometry.

Values from the calculation:
space-group type = Pbam, No. 55
ΔE to the lowest computed polymorph = 0.0 meV per atom
ΔE_f = -0.61 eV/f.u.

abc: 6.3915 12.7851 3.1900
angles: 90.00 90.00 90.00
Last column: nearest neighbours and their distance in Å.
Fractional positions:
1 Ta 0.0000 0.0000 0.0000  4 Mo 2.78, 4 W 2.79
2 Ta 0.5000 0.5000 0.0000  4 Mo 2.78, 4 W 2.79
3 Mo 0.2491 0.3741 0.5000  6 W 2.75-2.77, 2 Ta 2.78
4 Mo 0.2509 0.8741 0.5000  6 W 2.75-2.77, 2 Ta 2.78
5 Mo 0.7491 0.1259 0.5000  6 W 2.75-2.77, 2 Ta 2.78
6 Mo 0.7509 0.6259 0.5000  6 W 2.75-2.77, 2 Ta 2.78
7 W 0.0000 0.5000 0.0000  4 W 2.76, 4 Mo 2.77
8 W 0.0021 0.2503 0.0000  4 Mo 2.75-2.77, 4 W 2.75-2.76
9 W 0.2462 0.6263 0.5000  6 W 2.75-2.76, 2 Ta 2.79
10 W 0.2538 0.1263 0.5000  6 W 2.75-2.76, 2 Ta 2.79
11 W 0.4979 0.7503 0.0000  4 Mo 2.75-2.77, 4 W 2.75-2.76
12 W 0.5000 0.0000 0.0000  4 W 2.76, 4 Mo 2.77
13 W 0.5021 0.2497 0.0000  4 Mo 2.75-2.77, 4 W 2.75-2.76
14 W 0.7462 0.8737 0.5000  6 W 2.75-2.76, 2 Ta 2.79
15 W 0.7538 0.3737 0.5000  6 W 2.75-2.76, 2 Ta 2.79
16 W 0.9979 0.7497 0.0000  4 Mo 2.75-2.77, 4 W 2.75-2.76



Record 2
Density functional theory data (GGA-PBE) for crystalline TmMg2Sc at its relaxed geometry.

Values from the calculation:
space-group type = P4/mmm, No. 123
ΔE to the lowest computed polymorph = 0.0 meV per atom
ΔE_f = -0.19 eV/f.u.

abc: 3.6696 3.6696 7.3799
angles: 90.00 90.00 90.00
Last column: nearest neighbours and their distance in Å.
Fractional positions:
1 Tm 0.0000 0.0000 0.0000  8 Mg 3.25
2 Mg 0.5000 0.5000 0.2654  4 Sc 3.12, 4 Tm 3.25, 1 Mg 3.46
3 Mg 0.5000 0.5000 0.7346  4 Sc 3.12, 4 Tm 3.25, 1 Mg 3.46
4 Sc 0.0000 0.0000 0.5000  8 Mg 3.12



Record 3
Density functional theory data (GGA-PBE) for crystalline La8CoRu3Cl3 at its relaxed geometry.

Values from the calculation:
formation energy (no corrections) = -79 kJ per mole of atoms
space-group type = C2/m, No. 12

abc: 8.2627 8.2627 8.9443
angles: 117.56 117.56 60.00
Last column: nearest neighbours and their distance in Å.
Fractional positions:
1 La 0.2313 0.2313 0.7014  1 Co 2.80, 2 Ru 2.85
2 La 0.2319 0.7383 0.7016  1 Co 2.80, 2 Ru 2.84
3 La 0.2617 0.7681 0.2984  1 Co 2.80, 2 Ru 2.84
4 La 0.2650 0.2650 0.2952  3 Ru 2.84
5 La 0.7350 0.7350 0.7048  3 Ru 2.84
6 La 0.7383 0.2319 0.7016  1 Co 2.80, 2 Ru 2.84
7 La 0.7681 0.2617 0.2984  1 Co 2.80, 2 Ru 2.84
8 La 0.7687 0.7687 0.2986  1 Co 2.80, 2 Ru 2.85
9 Co 0.0000 0.0000 0.5000  6 La 2.80
10 Ru 0.0000 0.5000 0.5000  6 La 2.84-2.85
11 Ru 0.5000 0.0000 0.5000  6 La 2.84-2.85
12 Ru 0.5000 0.5000 0.5000  6 La 2.84
13 Cl 0.0000 0.0000 0.0000  6 La 3.26-3.27
14 Cl 0.0000 0.5000 0.0000  6 La 3.27
15 Cl 0.5000 0.0000 0.0000  6 La 3.27



Record 4
Density functional theory data (GGA-PBE) for crystalline RbNd2AlO5 at its relaxed geometry.

Values from the calculation:
formation energy (no corrections) = -278 kJ per mole of atoms
space-group type = I4/mcm, No. 140

abc: 7.4067 7.4067 7.4067
angles: 124.63 124.63 82.16
Last column: nearest neighbours and their distance in Å.
Fractional positions:
1 Rb 0.2500 0.2500 0.0000  10 O 2.79-2.97
2 Rb 0.7500 0.7500 0.0000  10 O 2.79-2.97
3 Nd 0.1827 0.6827 0.8655  4 O 2.37-2.52
4 Nd 0.3173 0.1827 0.5000  4 O 2.37-2.52
5 Nd 0.6827 0.8173 0.5000  4 O 2.37-2.52
6 Nd 0.8173 0.3173 0.1345  4 O 2.37-2.52
7 Al 0.2500 0.7500 0.5000  4 O 1.80
8 Al 0.7500 0.2500 0.5000  4 O 1.80
9 O 0.0000 0.0000 0.0000  4 Nd 2.52, 2 Rb 2.79
10 O 0.0057 0.7689 0.5000  1 Al 1.80
11 O 0.2311 0.7311 0.2367  1 Al 1.80
12 O 0.2689 0.5057 0.5000  1 Al 1.80
13 O 0.4943 0.9943 0.7633  1 Al 1.80
14 O 0.5000 0.5000 0.0000  4 Nd 2.52, 2 Rb 2.79
15 O 0.5057 0.0057 0.2367  1 Al 1.80
16 O 0.7311 0.4943 0.5000  1 Al 1.80
17 O 0.7689 0.2689 0.7633  1 Al 1.80
18 O 0.9943 0.2311 0.5000  1 Al 1.80



Number 1: V 260.7 Å³/cell, ρ 16.5 g/cm³. Number 2: V 99.4 Å³/cell, ρ 4.4 g/cm³. Number 3: V 447.1 Å³/cell, ρ 5.9 g/cm³. Number 4: V 264.5 Å³/cell, ρ 6.0 g/cm³.